Entry 1:
Crystalline Pr2BPPt6 at its relaxed geometry. Source: the Alexandria database, functional PBE.

Calculated values
The formation energy comes out at -0.873 eV per atom.

Cell: 5.853 7.383 8.455 Å, 90.00 90.00 90.00°
Fractional coordinates of all 20 atoms:
Pt 0.258 0.993 0.000
Pt 0.000 0.836 0.745
Pt 0.236 0.565 0.000
Pt 0.000 0.836 0.255
Pt 0.500 0.164 0.245
Pt 0.242 0.007 0.500
Pt 0.764 0.565 0.000
Pt 0.758 0.007 0.500
Pt 0.264 0.435 0.500
Pt 0.742 0.993 0.000
Pt 0.500 0.164 0.755
Pt 0.736 0.435 0.500
Pr 0.500 0.724 0.277
Pr 0.000 0.276 0.223
Pr 0.500 0.724 0.723
Pr 0.000 0.276 0.777
P 0.000 0.677 0.500
P 0.500 0.323 0.000
B 0.000 0.795 0.000
B 0.500 0.205 0.500



Entry 2:
Crystalline TePdN3 at its relaxed geometry. Source: the Alexandria database, functional PBE.

Calculated values
The value obtained for the energy relative to the elements, uncorrected is 9.5 eV per formula unit.

Cell: 3.977 3.977 3.977 Å, 90.00 90.00 90.00°
Last column: magnetic moment on the atom in μB.
Fractional coordinates of all 5 atoms:
N 0.000 0.000 0.500  0.27
N 0.500 0.000 0.000  0.50
N 0.000 0.500 0.000  0.38
Te 0.500 0.500 0.500  -0.19
Pd 0.000 0.000 0.000  0.21



Entry 3:
Crystalline CeTlCO5 at its relaxed geometry. Source: the Alexandria database, functional PBE.

Calculated values
The value obtained for the energy relative to the elements, uncorrected is -13.3 eV per formula unit.

Cell: 5.694 5.694 7.938 Å, 103.89 103.89 105.20°
Fractional coordinates of all 16 atoms:
O 0.437 0.249 0.124
O 0.690 0.142 0.351
O 0.310 0.858 0.649
O 0.142 0.690 0.851
O 0.090 0.910 0.250
O 0.563 0.751 0.876
O 0.858 0.310 0.149
O 0.249 0.437 0.624
O 0.910 0.090 0.750
O 0.751 0.563 0.376
Ce 0.000 0.000 0.500
Ce 0.000 0.000 0.000
Tl 0.348 0.652 0.250
Tl 0.652 0.348 0.750
C 0.316 0.684 0.750
C 0.684 0.316 0.250



Entry 4:
Crystalline Cd2CoCu at its relaxed geometry. Source: the Alexandria database, functional PBE.

Calculated values
The energy relative to the lowest polymorph listed for this composition comes out at 0.066 eV/atom. The formation energy comes out at 0.278 eV per atom.

Cell: 9.584 9.584 9.584 Å, 17.13 17.13 17.13°
Last column: magnetic moment on the atom in μB.
Fractional coordinates of all 4 atoms:
Cu 0.759 0.759 0.759  0.05
Cd 0.239 0.239 0.239  -0.01
Cd 0.010 0.010 0.010  0.00
Co 0.492 0.492 0.492  1.72



Entry 5:
Crystalline KScMoH2 at its relaxed geometry. Source: the Alexandria database, functional PBE.

Calculated values
The total energy is -3.39 eV per atom.

Cell: 4.131 6.042 4.131 Å, 90.00 90.00 90.00°
Last column: magnetic moment on the atom in μB.
Fractional coordinates of all 5 atoms:
Mo 0.500 0.500 0.500  2.36
H 0.000 0.000 0.500  0.03
H 0.500 0.000 0.000  -0.01
Sc 0.000 0.500 0.000  -0.07
K 0.000 0.000 0.000  0.01



Entry 6:
Crystalline ErLuCuRe at its relaxed geometry. Source: the Alexandria database, functional PBE.

Calculated values
The formation energy comes out at -0.035 eV per atom.

Cell: 4.802 4.802 4.802 Å, 60.00 60.00 60.00°
Fractional coordinates of all 4 atoms:
Re 0.250 0.250 0.250
Lu 0.000 0.000 0.000
Er 0.500 0.500 0.500
Cu 0.750 0.750 0.750



Entry 7:
Crystalline KBa2C at its relaxed geometry. Source: the Alexandria database, functional PBE.

Calculated values
The formation energy comes out at 0.663 eV per atom.

Cell: 8.729 8.729 8.259 Å, 58.10 58.10 90.00°
Last column: magnetic moment on the atom in μB.
Fractional coordinates of all 8 atoms:
Ba 0.375 0.530 0.750  0.04
Ba 0.470 0.125 0.250  0.03
Ba 0.280 0.625 0.250  0.04
Ba 0.875 0.720 0.750  0.04
C 0.500 0.500 0.000  0.34
C 0.250 0.750 0.500  0.33
K 0.750 0.250 0.500  0.00
K 0.000 0.000 0.000  0.00